# 1
The following is a PBE-GGA calculation of a relaxed Zn2PtCl crystal, from the Alexandria database.

Geometry as extended XYZ:
```
4
Lattice="7.399 0.003 -0.097 6.774 2.976 -0.097 0.048 0.010 3.291" Properties=species:S:1:pos:R:3 pbc="T T T"
Pt 4.460 0.938 0.765
Zn 13.032 2.739 2.291
Zn 10.196 2.143 2.335
Cl 7.863 1.653 2.351
```

Output
Magnetization   0.0 μB per formula unit
DFT total energy   -3.102 eV/atom
Distance to the lowest polymorph of the same formula   0.0 meV/atom
V   18.10 Å³ per atom
SG   No. 8

---

# 2
The following is a PBE-GGA calculation of a relaxed Zn2PtCl crystal, from the Alexandria database.

Geometry as extended XYZ:
```
4
Lattice="-0.409 0.395 3.168 -1.349 -2.657 0.157 6.276 -3.115 1.200" Properties=species:S:1:pos:R:3 pbc="T T T"
Pt 3.828 -3.467 2.562
Cl 0.690 -1.910 1.962
Zn 3.376 -1.676 0.645
Zn 6.038 -2.997 1.154
```

Output
Magnetization   0.0 μB per formula unit
DFT total energy   -2.941 eV/atom
Distance to the lowest polymorph of the same formula   160.8 meV/atom
V   17.07 Å³ per atom
SG   No. 47

---

# 3
The following is a PBE-GGA calculation of a relaxed Zn2PtCl crystal, from the Alexandria database.

Geometry as extended XYZ:
```
4
Lattice="-4.458 -0.979 -0.316 -1.512 -4.169 1.123 -2.488 -0.585 3.794" Properties=species:S:1:pos:R:3 pbc="T T T"
Zn 0.000 0.000 0.000
Zn -2.114 -1.433 1.150
Cl -4.229 -2.867 2.301
Pt -6.343 -4.300 3.451
```

Output
Magnetization   0.0 μB per formula unit
DFT total energy   -2.343 eV/atom
Distance to the lowest polymorph of the same formula   758.4 meV/atom
V   16.93 Å³ per atom
SG   No. 216